# 1
VASP calculation (PBEsol) on a relaxed ScNi2P crystal.

Properties
The value obtained for the energy above the lowest structure with this stoichiometry is 0.0 meV per atom. Its crystal system is orthorhombic. The value obtained for the formation energy is -0.6210 eV/atom. Its calculated density is 6431 kg/m³. The calculation puts the volume at 12.48 Å³/atom.

a = 3.7834 Å, b = 4.1772 Å, c = 6.3167 Å
α = 90.00°, β = 90.00°, γ = 90.00°
Space group Immm (No. 71)
One atom of each set of equivalent atoms:
Sc 0.0000 0.0000 0.0000 [2 per cell]
Ni 0.0000 0.5000 0.2212 [4 per cell]
P 0.0000 0.0000 0.5000 [2 per cell]

***

# 2
VASP calculation (PBEsol) on a relaxed BaSiMo2 crystal.

Properties
Its crystal system is tetragonal. Its calculated density is 8387 kg/m³. The formation energy from raw total energies is 1046 meV per atom. The calculation puts the volume at 17.68 Å³/atom.

a = 4.5518 Å, b = 4.5518 Å, c = 3.4141 Å
α = 90.00°, β = 90.00°, γ = 90.00°
Space group P4/mmm (No. 123)
One atom of each set of equivalent atoms:
Ba 0.0000 0.0000 0.0000 [1 per cell]
Si 0.5000 0.5000 0.0000 [1 per cell]
Mo 0.0000 0.5000 0.5000 [2 per cell]

***

# 3
VASP calculation (PBEsol) on a relaxed CaTlCd2 crystal.

Properties
The value obtained for the energy above the lowest structure with this stoichiometry is 31.2 meV per atom. Its crystal system is tetragonal. The value obtained for the formation energy is -0.2326 eV/atom. Its calculated density is 7947 kg/m³. The calculation puts the volume at 24.51 Å³/atom.

a = 4.6392 Å, b = 4.6392 Å, c = 9.1126 Å
α = 90.00°, β = 90.00°, γ = 90.00°
Space group I4/mmm (No. 139)
One atom of each set of equivalent atoms:
Ca 0.0000 0.0000 0.0000 [2 per cell]
Tl 0.0000 0.0000 0.5000 [2 per cell]
Cd 0.0000 0.5000 0.2500 [4 per cell]

***

# 4
VASP calculation (PBEsol) on a relaxed Ag2IrI crystal.

Properties
Its crystal system is cubic. Its calculated density is 11892 kg/m³. The formation energy from raw total energies is 942 meV per atom. The calculation puts the volume at 18.67 Å³/atom.

a = 6.6850 Å, b = 6.6850 Å, c = 6.6850 Å
α = 90.00°, β = 90.00°, γ = 90.00°
Space group Fm-3m (No. 225)
One atom of each set of equivalent atoms:
Ag 0.2500 0.2500 0.2500 [8 per cell]
Ir 0.0000 0.0000 0.0000 [4 per cell]
I 0.0000 0.0000 0.5000 [4 per cell]

***

# 5
VASP calculation (PBEsol) on a relaxed SrPd2Se crystal.

Properties
Its crystal system is tetragonal. Its calculated density is 6317 kg/m³. The formation energy from raw total energies is -630 meV per atom. The calculation puts the volume at 24.93 Å³/atom.

a = 4.9746 Å, b = 4.9746 Å, c = 16.1209 Å
α = 90.00°, β = 90.00°, γ = 90.00°
Space group I-42d (No. 122)
One atom of each set of equivalent atoms:
Sr 0.0000 0.0000 0.0000 [4 per cell]
Pd 0.0872 0.2500 0.6250 [8 per cell]
Se 0.0000 0.0000 0.5000 [4 per cell]

***

# 6
VASP calculation (PBEsol) on a relaxed Sr2InAs2 crystal.

Properties
The value obtained for the energy above the lowest structure with this stoichiometry is 338.0 meV per atom. Its crystal system is tetragonal. The value obtained for the formation energy is -0.5035 eV/atom. Its calculated density is 5096 kg/m³. The calculation puts the volume at 28.67 Å³/atom.

a = 3.8798 Å, b = 3.8798 Å, c = 19.0451 Å
α = 90.00°, β = 90.00°, γ = 90.00°
Space group I4/mmm (No. 139)
One atom of each set of equivalent atoms:
Sr 0.0000 0.0000 0.1178 [4 per cell]
In 0.0000 0.0000 0.5000 [2 per cell]
As 0.0000 0.5000 0.2500 [4 per cell]

***

# 7
VASP calculation (PBEsol) on a relaxed Bi2WO6 crystal.

Properties
The value obtained for the energy above the lowest structure with this stoichiometry is 0.0 meV per atom. Its crystal system is orthorhombic. Its calculated density is 9399 kg/m³. The formation energy from raw total energies is -1729 meV per atom. The calculation puts the volume at 13.70 Å³/atom.

a = 5.4680 Å, b = 16.5033 Å, c = 5.4645 Å
α = 90.00°, β = 90.00°, γ = 90.00°
Space group Aea2 (No. 41)
One atom of each set of equivalent atoms:
Bi 0.0223 0.1728 0.0000 [8 per cell]
W 0.0000 0.0000 0.4699 [4 per cell]
O 0.0816 0.1082 0.4014 [8 per cell]
O 0.2410 0.2516 0.7260 [8 per cell]
O 0.2454 0.4783 0.1848 [8 per cell]

***

# 8
VASP calculation (PBEsol) on a relaxed FeHgP2S crystal.

Properties
Its crystal system is tetragonal. Its calculated density is 5033 kg/m³. The formation energy from raw total energies is 1665 meV per atom. The calculation puts the volume at 23.12 Å³/atom.

a = 4.8576 Å, b = 4.8576 Å, c = 4.8998 Å
α = 90.00°, β = 90.00°, γ = 90.00°
Space group P4/mmm (No. 123)
One atom of each set of equivalent atoms:
Fe 0.0000 0.0000 0.0000 [1 per cell]
Hg 0.5000 0.5000 0.5000 [1 per cell]
P 0.0000 0.5000 0.5000 [2 per cell]
S 0.5000 0.5000 0.0000 [1 per cell]

***

# 9
VASP calculation (PBEsol) on a relaxed KBaTl2 crystal.

Properties
The value obtained for the energy above the lowest structure with this stoichiometry is 28.4 meV per atom. Its crystal system is tetragonal. The value obtained for the formation energy is -0.2023 eV/atom. Its calculated density is 6705 kg/m³. The calculation puts the volume at 36.23 Å³/atom.

a = 4.1275 Å, b = 4.1275 Å, c = 8.5063 Å
α = 90.00°, β = 90.00°, γ = 90.00°
Space group P4/mmm (No. 123)
One atom of each set of equivalent atoms:
K 0.0000 0.0000 0.0000 [1 per cell]
Ba 0.0000 0.0000 0.5000 [1 per cell]
Tl 0.5000 0.5000 0.2590 [2 per cell]

***

# 10
VASP calculation (PBEsol) on a relaxed CoRh2 crystal.

Properties
Its crystal system is hexagonal. The value obtained for the formation energy is 0.0832 eV/atom. Its calculated density is 11708 kg/m³. The calculation puts the volume at 12.52 Å³/atom.

a = 7.0277 Å, b = 7.0277 Å, c = 2.6337 Å
α = 90.00°, β = 90.00°, γ = 120.00°
Space group P-62m (No. 189)
One atom of each set of equivalent atoms:
Co 0.0000 0.0000 0.0000 [1 per cell]
Co 0.3333 0.6667 0.5000 [2 per cell]
Rh 0.0000 0.2980 0.5000 [3 per cell]
Rh 0.0000 0.6348 0.0000 [3 per cell]

***

# 11
VASP calculation (PBEsol) on a relaxed NiAuSeN2 crystal.

Properties
Its crystal system is tetragonal. Its calculated density is 8502 kg/m³. The formation energy from raw total energies is 1157 meV per atom. The calculation puts the volume at 14.16 Å³/atom.

a = 3.6572 Å, b = 3.6572 Å, c = 5.2954 Å
α = 90.00°, β = 90.00°, γ = 90.00°
Space group P4/mmm (No. 123)
One atom of each set of equivalent atoms:
Ni 0.0000 0.0000 0.0000 [1 per cell]
Au 0.5000 0.5000 0.5000 [1 per cell]
Se 0.0000 0.0000 0.5000 [1 per cell]
N 0.0000 0.5000 0.0000 [2 per cell]

***

# 12
VASP calculation (PBEsol) on a relaxed ZrInCl2 crystal.

Properties
The value obtained for the energy above the lowest structure with this stoichiometry is 0.0 meV per atom. Its crystal system is tetragonal. Its calculated density is 5429 kg/m³. The formation energy from raw total energies is -834 meV per atom. The calculation puts the volume at 21.18 Å³/atom.

a = 3.5398 Å, b = 3.5398 Å, c = 6.7608 Å
α = 90.00°, β = 90.00°, γ = 90.00°
Space group P4mm (No. 99)
One atom of each set of equivalent atoms:
Zr 0.0000 0.0000 0.0000 [1 per cell]
In 0.5000 0.5000 0.6752 [1 per cell]
Cl 0.0000 0.0000 0.3717 [1 per cell]
Cl 0.5000 0.5000 0.1136 [1 per cell]

***

| no. | DOS at the Fermi energy (states/eV/atom) |
| --- | --- |
| 1 | 0.3744 |
| 2 | 0.9525 |
| 3 | 0.5464 |
| 4 | 0.7798 |
| 5 | 0.1248 |
| 6 | 0.7493 |
| 7 | 0.0000 |
| 8 | 1.6716 |
| 9 | 0.7940 |
| 10 | 1.6047 |
| 11 | 0.6411 |
| 12 | 0.5403 |